# 1
Below is a relaxed Cs3Li2CeCl9 crystal, with properties calculated at the PBE level.

Structure (POSCAR):
```
Cs3Li2CeCl9
1.0
-1.193 4.148 6.213
2.023 -7.262 0.631
9.251 2.582 0.052
Cs Cl Li Ce
3 9 2 1
Direct
0.333 0.667 0.696
0.667 0.333 0.304
0.000 0.000 0.000
0.500 0.500 0.000
0.164 0.836 0.341
0.000 0.500 0.000
0.500 0.000 0.000
0.836 0.672 0.659
0.836 0.164 0.659
0.672 0.836 0.341
0.328 0.164 0.659
0.164 0.328 0.341
0.333 0.667 0.091
0.667 0.333 0.909
0.000 0.000 0.500
```

## Properties
total energy	-3.898	eV/atom
density	3.041	Mg/m³
formation energy without anion corrections	-190	kJ/mol of atoms
total magnetic moment	0.00	μB/cell

=====

# 2
Below is a relaxed AcEr2Hf crystal, with properties calculated at the PBE level.

Structure (POSCAR):
```
AcEr2Hf
1.0
3.978 0.000 0.000
0.000 3.978 0.000
0.000 0.000 8.027
Hf Er Ac
1 2 1
Direct
0.500 0.500 0.000
0.000 0.000 0.201
0.000 0.000 0.799
0.500 0.500 0.500
```

## Properties
total energy	-5.570	eV/atom
offset from the most stable computed form	0.0378	eV per atom
density	9.674	Mg/m³
ΔE_f	227	meV per atom
total magnetic moment	0.00	μB/cell

=====

> What is the formula in the first record?

Cs3Li2CeCl9

=====

> What is the formula in the second record?

AcEr2Hf

=====

> Look up the total energy of the second one.

-5.570 eV/atom